Dy4Ho2Sn3O2 PBE optimized geometry; total magnetization = 0.0 μB/f.u.; Fermi-level density of states = 0.527 states/eV per atom; E_form (uncorrected) = -1.51 eV per atom; DFT total energy = -6.010 eV per atom; crystal system = tetragonal; calculated density = 8.47 g/cm³
1.0
-0.703 2.383 -3.925
-2.445 -3.556 -1.720
-8.830 5.420 7.621
Dy Ho Sn O
4 2 3 2
Direct
0.416 0.916 0.833 Dy
0.916 0.416 0.833 Dy
0.084 0.584 0.167 Dy
0.584 0.084 0.167 Dy
0.307 0.307 0.613 Ho
0.693 0.693 0.387 Ho
0.000 0.000 0.000 Sn
0.179 0.179 0.358 Sn
0.821 0.821 0.642 Sn
0.401 0.401 0.801 O
0.599 0.599 0.199 O